Density functional theory data (GGA+U) for an optimized crystal structure of YHfNiO2.

Properties
**Total magnetization**: 0.05 μB/cell
**DFT total energy**: -28.73 eV/f.u.

Lattice parameters (Å, degrees): 4.1293 4.1293 7.1019 90.00 90.00 90.00
Positions (direct):
Y  0.0000  0.0000  0.0000
Hf  0.0000  0.0000  0.5000
Ni  0.5000  0.5000  0.5000
O  0.0000  0.5000  0.0000
O  0.5000  0.0000  0.0000